1.
# PrNpS2

A relaxed structure of PrNpS2 (PBE, Alexandria via LeMat-Bulk).

It has space group R-3m (No. 166, hexagonal axes), with a = 4.0100 Å, b = 4.0100 Å, c = 19.5987 Å, α = 90.00°, β = 90.00° and γ = 120.00°. The distinct sites, in fractional coordinates, are Pr at (0.0000, 0.0000, 0.0000), Np at (0.0000, 0.0000, 0.5000) and S at (0.0000, 0.0000, 0.2441).

The value obtained for the density of states at the Fermi level is 23.86 states/eV per cell.

=====

2.
# PrNpS2

A relaxed structure of PrNpS2 (PBE, Alexandria via LeMat-Bulk).

It has space group R3m (No. 160, hexagonal axes), with a = 3.8652 Å, b = 3.8652 Å, c = 21.5364 Å, α = 90.00°, β = 90.00° and γ = 120.00°. The distinct sites, in fractional coordinates, are Pr at (0.0000, 0.0000, 0.0000), Np at (0.0000, 0.0000, 0.8254), S at (0.0000, 0.0000, 0.4158) and S at (0.0000, 0.0000, 0.5772).

The value obtained for the density of states at the Fermi level is 26.70 states/eV per cell.

=====

Least stable = 2

=====

1.
# PrNpSb2

A relaxed structure of PrNpSb2 (PBE, Alexandria via LeMat-Bulk).

It has space group R-3m (No. 166, hexagonal axes), with a = 4.4643 Å, b = 4.4643 Å, c = 22.0707 Å, α = 90.00°, β = 90.00° and γ = 120.00°. The distinct sites, in fractional coordinates, are Pr at (0.0000, 0.0000, 0.0000), Np at (0.0000, 0.0000, 0.5000) and Sb at (0.0000, 0.0000, 0.2463).

The value obtained for the density of states at the Fermi level is 36.82 states/eV per cell.

=====

2.
# PrNpSb2

A relaxed structure of PrNpSb2 (PBE, Alexandria via LeMat-Bulk).

It has space group R3m (No. 160, hexagonal axes), with a = 4.4266 Å, b = 4.4266 Å, c = 22.8798 Å, α = 90.00°, β = 90.00° and γ = 120.00°. The distinct sites, in fractional coordinates, are Pr at (0.0000, 0.0000, 0.0000), Np at (0.0000, 0.0000, 0.1710), Sb at (0.0000, 0.0000, 0.5808) and Sb at (0.0000, 0.0000, 0.7569).

The value obtained for the density of states at the Fermi level is 26.65 states/eV per cell.

=====

Least stable = 2

=====

1.
# PrNpTe2

A relaxed structure of PrNpTe2 (PBE, Alexandria via LeMat-Bulk).

It has space group P4/mmm (No. 123), with a = 3.8258 Å, b = 3.8258 Å, c = 7.7543 Å, α = 90.00°, β = 90.00° and γ = 90.00°. The distinct sites, in fractional coordinates, are Pr at (0.0000, 0.0000, 0.0000), Np at (0.0000, 0.0000, 0.5000) and Te at (0.5000, 0.5000, 0.2569).

The value obtained for the density of states at the Fermi level is 8.36 states/eV per cell.

=====

2.
# PrNpTe2

A relaxed structure of PrNpTe2 (PBE, Alexandria via LeMat-Bulk).

It has space group R-3m (No. 166, hexagonal axes), with a = 4.4471 Å, b = 4.4471 Å, c = 21.9948 Å, α = 90.00°, β = 90.00° and γ = 120.00°. The distinct sites, in fractional coordinates, are Pr at (0.0000, 0.0000, 0.0000), Np at (0.0000, 0.0000, 0.5000) and Te at (0.0000, 0.0000, 0.2465).

The value obtained for the density of states at the Fermi level is 34.10 states/eV per cell.

=====

3.
# PrNpTe2

A relaxed structure of PrNpTe2 (PBE, Alexandria via LeMat-Bulk).

It has space group Fm-3m (No. 225), with a = 7.7197 Å, b = 7.7197 Å, c = 7.7197 Å, α = 90.00°, β = 90.00° and γ = 90.00°. The distinct sites, in fractional coordinates, are Pr at (0.0000, 0.0000, 0.0000), Np at (0.0000, 0.0000, 0.5000) and Te at (0.2500, 0.2500, 0.2500).

The value obtained for the density of states at the Fermi level is 55.43 states/eV per cell.

=====

Least stable = 3